Entry 1:
A relaxed structure of KLaPm4Se8. Source: Alexandria via LeMat-Bulk, functional PBE.

```
data_KLaPm4Se8
_chemical_formula_sum 'K1 La1 Pm4 Se8'
_cell_length_a 8.7698
_cell_length_b 8.7698
_cell_length_c 8.8782
_cell_angle_alpha 60.40
_cell_angle_beta 60.40
_cell_angle_gamma 60.00
_symmetry_space_group_name_H-M 'P 1'
_symmetry_Int_Tables_number 1
loop_
_symmetry_equiv_pos_as_xyz
'x,y,z'
loop_
_atom_site_label
_atom_site_fract_x
_atom_site_fract_y
_atom_site_fract_z
Se1 0.7548 0.2291 0.2614
Se2 0.2382 0.7945 0.7291
Se3 0.2347 0.2347 0.2960
Se4 0.2291 0.7548 0.2614
Se5 0.2382 0.2382 0.7291
Se6 0.7548 0.7548 0.2614
Se7 0.7575 0.7575 0.7276
Se8 0.7945 0.2382 0.7291
La1 0.0038 0.0038 0.9886
K1 0.3730 0.3730 0.8810
Pm1 0.0043 0.4871 0.5043
Pm2 0.4871 0.0043 0.5043
Pm3 0.0043 0.0043 0.5043
Pm4 0.6258 0.6258 0.1226
```

Summary:
E_form (uncorrected) = -1781 meV per atom
E_tot = -5.560 eV/atom
size of the total moment = 0.00 μB/f.u.

Entry 2:
A relaxed structure of KLaPm2Te4. Source: Alexandria via LeMat-Bulk, functional PBE.

```
data_KLaPm2Te4
_chemical_formula_sum 'K1 La1 Pm2 Te4'
_cell_length_a 4.5208
_cell_length_b 8.0410
_cell_length_c 7.9318
_cell_angle_alpha 71.39
_cell_angle_beta 90.00
_cell_angle_gamma 90.00
_symmetry_space_group_name_H-M 'P 1'
_symmetry_Int_Tables_number 1
loop_
_symmetry_equiv_pos_as_xyz
'x,y,z'
loop_
_atom_site_label
_atom_site_fract_x
_atom_site_fract_y
_atom_site_fract_z
Te1 0.0000 0.7600 0.7504
Te2 0.0000 0.2400 0.2496
Te3 0.5000 0.2338 0.7615
Te4 0.5000 0.7662 0.2385
Pm1 0.5000 0.0000 0.5000
Pm2 0.0000 0.0000 0.0000
La1 0.5000 0.5000 0.0000
K1 0.0000 0.5000 0.5000
```

Summary:
E_form (uncorrected) = -1437 meV per atom
E_tot = -4.949 eV/atom
size of the total moment = 0.00 μB/f.u.

Entry 3:
A relaxed structure of K4La3PmTe8. Source: Alexandria via LeMat-Bulk, functional PBE.

```
data_K4La3PmTe8
_chemical_formula_sum 'K4 La3 Pm1 Te8'
_cell_length_a 9.3679
_cell_length_b 9.8520
_cell_length_c 9.3682
_cell_angle_alpha 118.41
_cell_angle_beta 120.00
_cell_angle_gamma 90.00
_symmetry_space_group_name_H-M 'P 1'
_symmetry_Int_Tables_number 1
loop_
_symmetry_equiv_pos_as_xyz
'x,y,z'
loop_
_atom_site_label
_atom_site_fract_x
_atom_site_fract_y
_atom_site_fract_z
Te1 0.2359 0.7148 0.9791
Te2 0.7641 0.2851 0.5282
Te3 0.7641 0.2852 0.0209
Te4 0.2610 0.2831 0.5220
Te5 0.2568 0.2852 0.0209
Te6 0.2359 0.7149 0.4718
Te7 0.7390 0.7169 0.4780
Te8 0.7432 0.7148 0.9791
La1 0.0000 0.5000 0.5000
La2 0.5000 0.5000 0.0000
La3 0.5000 0.5000 0.5000
K1 0.0000 0.0000 0.0000
K2 0.0000 0.0000 0.5000
K3 0.5000 0.0000 0.0000
K4 0.5000 0.0000 0.5000
Pm1 0.0000 0.5000 0.0000
```

Summary:
E_form (uncorrected) = -1478 meV per atom
E_tot = -4.544 eV/atom
size of the total moment = 0.00 μB/f.u.

Entry 4:
A relaxed structure of K3LaPm2Te6. Source: Alexandria via LeMat-Bulk, functional PBE.

```
data_K3LaPm2Te6
_chemical_formula_sum 'K3 La1 Pm2 Te6'
_cell_length_a 8.0244
_cell_length_b 8.0244
_cell_length_c 8.6699
_cell_angle_alpha 98.88
_cell_angle_beta 98.88
_cell_angle_gamma 120.01
_symmetry_space_group_name_H-M 'P 1'
_symmetry_Int_Tables_number 1
loop_
_symmetry_equiv_pos_as_xyz
'x,y,z'
loop_
_atom_site_label
_atom_site_fract_x
_atom_site_fract_y
_atom_site_fract_z
Te1 0.9285 0.5901 0.7857
Te2 0.4099 0.0715 0.2143
Te3 0.5901 0.9285 0.7857
Te4 0.0715 0.4099 0.2143
Te5 0.2671 0.2671 0.7858
Te6 0.7329 0.7329 0.2142
K1 0.1658 0.8342 0.5000
K2 0.5000 0.5000 0.5000
K3 0.8342 0.1658 0.5000
La1 0.0000 0.0000 0.0000
Pm1 0.3332 0.6668 0.0000
Pm2 0.6668 0.3332 0.0000
```

Summary:
E_form (uncorrected) = -1444 meV per atom
E_tot = -4.491 eV/atom
size of the total moment = 0.00 μB/f.u.

Entry 5:
A relaxed structure of K4LaPm3Te8. Source: Alexandria via LeMat-Bulk, functional PBE.

```
data_K4LaPm3Te8
_chemical_formula_sum 'K4 La1 Pm3 Te8'
_cell_length_a 9.2430
_cell_length_b 9.8259
_cell_length_c 9.2442
_cell_angle_alpha 118.09
_cell_angle_beta 120.00
_cell_angle_gamma 90.00
_symmetry_space_group_name_H-M 'P 1'
_symmetry_Int_Tables_number 1
loop_
_symmetry_equiv_pos_as_xyz
'x,y,z'
loop_
_atom_site_label
_atom_site_fract_x
_atom_site_fract_y
_atom_site_fract_z
Te1 0.2623 0.2872 0.5246
Te2 0.7593 0.2855 0.0258
Te3 0.7377 0.7128 0.4754
Te4 0.7594 0.2855 0.5187
Te5 0.2406 0.7145 0.4813
Te6 0.2407 0.7145 0.9742
Te7 0.7335 0.7145 0.9742
Te8 0.2665 0.2855 0.0258
K1 0.5000 0.0000 0.0000
K2 0.5000 0.0000 0.5000
K3 0.0000 0.0000 0.0000
K4 0.0000 0.0000 0.5000
Pm1 0.5000 0.5000 0.0000
Pm2 0.5000 0.5000 0.5000
Pm3 0.0000 0.5000 0.5000
La1 0.0000 0.5000 0.0000
```

Summary:
E_form (uncorrected) = -1437 meV per atom
E_tot = -4.480 eV/atom
size of the total moment = 0.00 μB/f.u.

Entry 6:
A relaxed structure of K2LaPmTe4. Source: Alexandria via LeMat-Bulk, functional PBE.

```
data_K2LaPmTe4
_chemical_formula_sum 'K2 La1 Pm1 Te4'
_cell_length_a 4.6541
_cell_length_b 8.0607
_cell_length_c 8.6650
_cell_angle_alpha 108.04
_cell_angle_beta 90.00
_cell_angle_gamma 90.00
_symmetry_space_group_name_H-M 'P 1'
_symmetry_Int_Tables_number 1
loop_
_symmetry_equiv_pos_as_xyz
'x,y,z'
loop_
_atom_site_label
_atom_site_fract_x
_atom_site_fract_y
_atom_site_fract_z
Te1 0.5000 0.2331 0.2137
Te2 0.0000 0.7434 0.2157
Te3 0.5000 0.7669 0.7863
Te4 0.0000 0.2566 0.7843
K1 0.5000 0.0000 0.5000
K2 0.0000 0.5000 0.5000
La1 0.5000 0.5000 0.0000
Pm1 0.0000 0.0000 0.0000
```

Summary:
E_form (uncorrected) = -1457 meV per atom
E_tot = -4.512 eV/atom
size of the total moment = 0.00 μB/f.u.